Record 1
The following is a GGA-PBEsol calculation of La3PdC after structural relaxation, from Alexandria via LeMat-Bulk.

Unit cell a=5.0517 b=5.0517 c=5.0517 alpha=90.00 beta=90.00 gamma=90.00
Atoms (fractional coordinates):
La: 0.0000 0.5000 0.0000
La: 0.0000 0.0000 0.5000
La: 0.5000 0.0000 0.0000
Pd: 0.5000 0.5000 0.5000
C: 0.0000 0.0000 0.0000

Summary:
Formation energy, kJ/mol of formula units: -42.2
SG: Pm-3m (221)

Record 2
The following is a GGA-PBEsol calculation of LaRePdC2 after structural relaxation, from Alexandria via LeMat-Bulk.

Unit cell a=4.0348 b=4.0348 c=5.0050 alpha=90.00 beta=90.00 gamma=90.00
Atoms (fractional coordinates):
C: 0.0000 0.5000 0.0000
C: 0.5000 0.0000 0.0000
Pd: 0.0000 0.0000 0.5000
La: 0.5000 0.5000 0.5000
Re: 0.0000 0.0000 0.0000

Summary:
Formation energy, kJ/mol of formula units: 215.6
SG: P4/mmm (123)

Record 3
The following is a GGA-PBEsol calculation of Rb3LaC after structural relaxation, from Alexandria via LeMat-Bulk.

Unit cell a=7.0027 b=7.0027 c=7.0027 alpha=90.00 beta=90.00 gamma=90.00
Last column: magnetic moment on the atom in μB.
Atoms (fractional coordinates):
C: 0.5000 0.5000 0.5000  1.07
La: 0.0000 0.0000 0.0000  -1.21
Rb: 0.0000 0.5000 0.0000  -0.06
Rb: 0.5000 0.0000 0.0000  -0.06
Rb: 0.0000 0.0000 0.5000  -0.06

Summary:
Formation energy, kJ/mol of formula units: 1030.5
SG: Pm-3m (221)

Record 4
The following is a GGA-PBEsol calculation of RbLa2YC after structural relaxation, from Alexandria via LeMat-Bulk.

Unit cell a=5.1746 b=5.4234 c=5.4234 alpha=90.00 beta=90.00 gamma=90.00
Atoms (fractional coordinates):
La: 0.0000 0.0000 0.5000
La: 0.0000 0.5000 0.0000
Rb: 0.0000 0.0000 0.0000
Y: 0.5000 0.0000 0.0000
C: 0.5000 0.5000 0.5000

Summary:
Formation energy, kJ/mol of formula units: 1137.2
SG: P4/mmm (123)

Record 5
The following is a GGA-PBEsol calculation of LaRhC3 after structural relaxation, from Alexandria via LeMat-Bulk.

Unit cell a=4.2538 b=4.2538 c=4.2538 alpha=90.00 beta=90.00 gamma=90.00
Atoms (fractional coordinates):
Rh: 0.5000 0.5000 0.5000
C: 0.0000 0.5000 0.0000
C: 0.5000 0.0000 0.0000
C: 0.0000 0.0000 0.5000
La: 0.0000 0.0000 0.0000

Summary:
Formation energy, kJ/mol of formula units: 1544.4
SG: Pm-3m (221)

Record 6
The following is a GGA-PBEsol calculation of LaRh3C after structural relaxation, from Alexandria via LeMat-Bulk.

Unit cell a=4.1960 b=4.1960 c=4.1960 alpha=90.00 beta=90.00 gamma=90.00
Atoms (fractional coordinates):
Rh: 0.5000 0.0000 0.0000
Rh: 0.0000 0.5000 0.0000
Rh: 0.0000 0.0000 0.5000
C: 0.0000 0.0000 0.0000
La: 0.5000 0.5000 0.5000

Summary:
Formation energy, kJ/mol of formula units: -189.1
SG: Pm-3m (221)

Record 7
The following is a GGA-PBEsol calculation of LaSc2RhC after structural relaxation, from Alexandria via LeMat-Bulk.

Unit cell a=4.8062 b=4.8062 c=5.4270 alpha=90.00 beta=90.00 gamma=90.00
Atoms (fractional coordinates):
La: 0.0000 0.0000 0.5000
Rh: 0.0000 0.0000 0.0000
C: 0.5000 0.5000 0.5000
Sc: 0.5000 0.0000 0.0000
Sc: 0.0000 0.5000 0.0000

Summary:
Formation energy, kJ/mol of formula units: 420.6
SG: P4/mmm (123)

Record 8
The following is a GGA-PBEsol calculation of LaSnRu2C after structural relaxation, from Alexandria via LeMat-Bulk.

Unit cell a=4.2224 b=4.2224 c=4.7697 alpha=90.00 beta=90.00 gamma=90.00
Atoms (fractional coordinates):
Sn: 0.0000 0.0000 0.5000
La: 0.5000 0.5000 0.5000
Ru: 0.0000 0.5000 0.0000
Ru: 0.5000 0.0000 0.0000
C: 0.0000 0.0000 0.0000

Summary:
Formation energy, kJ/mol of formula units: 144.5
SG: P4/mmm (123)

Record 9
The following is a GGA-PBEsol calculation of LaC2S after structural relaxation, from Alexandria via LeMat-Bulk.

Unit cell a=5.1713 b=5.1713 c=5.1713 alpha=104.08 beta=112.23 gamma=112.23
Atoms (fractional coordinates):
C: 0.8786 0.5036 0.1250
C: 0.3786 0.8750 0.7536
C: 0.6214 0.3750 0.4964
C: 0.1214 0.2464 0.6250
La: 0.0000 0.0000 0.0000
La: 0.5000 0.7500 0.2500
S: 0.0000 0.5000 0.5000
S: 0.5000 0.2500 0.7500

Summary:
SG: I-42d (122)
Formation energy without anion corrections, meV/atom: 710

Record 10
The following is a GGA-PBEsol calculation of LaZr2CS after structural relaxation, from Alexandria via LeMat-Bulk.

Unit cell a=5.0934 b=5.2074 c=5.2074 alpha=90.00 beta=90.00 gamma=90.00
Last column: magnetic moment on the atom in μB.
Atoms (fractional coordinates):
S: 0.5000 0.0000 0.0000  0.06
Zr: 0.0000 0.0000 0.5000  -0.08
Zr: 0.0000 0.5000 0.0000  -0.08
La: 0.0000 0.0000 0.0000  -0.03
C: 0.5000 0.5000 0.5000  0.67

Summary:
SG: P4/mmm (123)
Formation energy without anion corrections, meV/atom: 2368

Record 11
The following is a GGA-PBEsol calculation of La3SbC after structural relaxation, from Alexandria via LeMat-Bulk.

Unit cell a=5.1128 b=5.1128 c=5.1128 alpha=90.00 beta=90.00 gamma=90.00
Atoms (fractional coordinates):
La: 0.0000 0.5000 0.0000
La: 0.0000 0.0000 0.5000
La: 0.5000 0.0000 0.0000
C: 0.0000 0.0000 0.0000
Sb: 0.5000 0.5000 0.5000

Summary:
SG: Pm-3m (221)
Formation energy without anion corrections, meV/atom: -574

Record 12
The following is a GGA-PBEsol calculation of LaSbC3 after structural relaxation, from Alexandria via LeMat-Bulk.

Unit cell a=4.3948 b=4.3948 c=4.3948 alpha=90.00 beta=90.00 gamma=90.00
Atoms (fractional coordinates):
Sb: 0.5000 0.5000 0.5000
C: 0.0000 0.0000 0.5000
C: 0.0000 0.5000 0.0000
C: 0.5000 0.0000 0.0000
La: 0.0000 0.0000 0.0000

Summary:
SG: Pm-3m (221)
Formation energy without anion corrections, meV/atom: 2647

Record 13
The following is a GGA-PBEsol calculation of LaSbTe2C after structural relaxation, from Alexandria via LeMat-Bulk.

Unit cell a=6.0145 b=6.0145 c=6.1153 alpha=90.00 beta=90.00 gamma=90.00
Last column: magnetic moment on the atom in μB.
Atoms (fractional coordinates):
Sb: 0.0000 0.0000 0.5000  -0.21
Te: 0.0000 0.5000 0.0000  -0.07
Te: 0.5000 0.0000 0.0000  -0.07
C: 0.5000 0.5000 0.5000  0.93
La: 0.0000 0.0000 0.0000  -0.02

Summary:
Energy above the lowest structure with this stoichiometry, meV per atom: 1548
SG: P4/mmm (123)
Formation energy without anion corrections, meV/atom: 1679

Record 14
The following is a GGA-PBEsol calculation of LaSbTe2C after structural relaxation, from Alexandria via LeMat-Bulk.

Unit cell a=4.8068 b=4.9104 c=4.9104 alpha=90.00 beta=90.00 gamma=90.00
Atoms (fractional coordinates):
La: 0.5000 0.5000 0.5000
C: 0.0000 0.0000 0.0000
Sb: 0.5000 0.0000 0.0000
Te: 0.0000 0.0000 0.5000
Te: 0.0000 0.5000 0.0000

Summary:
Energy above the lowest structure with this stoichiometry, meV per atom: 0
SG: P4/mmm (123)
Formation energy without anion corrections, meV/atom: 131

Record 15
The following is a GGA-PBEsol calculation of LaSb2TeC after structural relaxation, from Alexandria via LeMat-Bulk.

Unit cell a=5.9541 b=6.0309 c=6.0309 alpha=90.00 beta=90.00 gamma=90.00
Last column: magnetic moment on the atom in μB.
Atoms (fractional coordinates):
Te: 0.5000 0.0000 0.0000  0.00
La: 0.0000 0.0000 0.0000  -0.01
Sb: 0.0000 0.5000 0.0000  -0.10
Sb: 0.0000 0.0000 0.5000  -0.10
C: 0.5000 0.5000 0.5000  0.94

Summary:
SG: P4/mmm (123)
Formation energy without anion corrections, meV/atom: 1878

Record 16
The following is a GGA-PBEsol calculation of LaScC2 after structural relaxation, from Alexandria via LeMat-Bulk.

Unit cell a=4.3191 b=4.3191 c=4.3191 alpha=60.00 beta=60.00 gamma=60.00
Atoms (fractional coordinates):
C: 0.7500 0.7500 0.7500
C: 0.2500 0.2500 0.2500
Sc: 0.0000 0.0000 0.0000
La: 0.5000 0.5000 0.5000

Summary:
Formation energy, kJ/mol of formula units: 213.6
SG: Fm-3m (225)

Record 17
The following is a GGA-PBEsol calculation of LaCSe2 after structural relaxation, from Alexandria via LeMat-Bulk.

Unit cell a=4.2047 b=4.2047 c=7.5535 alpha=73.84 beta=73.84 gamma=60.00
Last column: magnetic moment on the atom in μB.
Atoms (fractional coordinates):
Se: 0.0840 0.0840 0.7481  0.03
Se: 0.9160 0.9160 0.2519  0.03
C: 0.0000 0.0000 0.0000  0.46
La: 0.5000 0.5000 0.5000  0.12

Summary:
SG: R-3m (166)
Formation energy without anion corrections, meV/atom: 306

Record 18
The following is a GGA-PBEsol calculation of La2CSe after structural relaxation, from Alexandria via LeMat-Bulk.

Unit cell a=6.4251 b=6.4251 c=6.4251 alpha=102.94 beta=112.83 gamma=112.83
Atoms (fractional coordinates):
La: 0.0647 0.1897 0.6250
La: 0.9353 0.5603 0.1250
La: 0.4353 0.8750 0.8103
La: 0.5647 0.3750 0.4397
Se: 0.0000 0.0000 0.0000
Se: 0.5000 0.7500 0.2500
C: 0.5000 0.2500 0.7500
C: 0.0000 0.5000 0.5000

Summary:
SG: I-42d (122)
Formation energy without anion corrections, meV/atom: -864

Record 19
The following is a GGA-PBEsol calculation of SrLaC2 after structural relaxation, from Alexandria via LeMat-Bulk.

Unit cell a=4.6049 b=4.6049 c=4.6049 alpha=60.00 beta=60.00 gamma=60.00
Atoms (fractional coordinates):
C: 0.7500 0.7500 0.7500
C: 0.2500 0.2500 0.2500
Sr: 0.0000 0.0000 0.0000
La: 0.5000 0.5000 0.5000

Summary:
Energy above the lowest structure with this stoichiometry, meV per atom: 0
Formation energy, kJ/mol of formula units: 371.5
SG: Fm-3m (225)

Record 20
The following is a GGA-PBEsol calculation of SrLaC2 after structural relaxation, from Alexandria via LeMat-Bulk.

Unit cell a=6.0666 b=6.0666 c=6.0666 alpha=78.42 beta=66.45 gamma=113.55
Last column: magnetic moment on the atom in μB.
Atoms (fractional coordinates):
La: 0.5000 0.2500 0.2500  0.06
La: 0.0000 0.0000 0.0000  0.06
Sr: 0.5000 0.7500 0.7500  0.03
Sr: 0.0000 0.5000 0.5000  0.03
C: 0.5313 0.6250 0.3437  0.16
C: 0.4687 0.1250 0.9063  0.16
C: 0.0313 0.9063 0.6250  0.16
C: 0.9687 0.3437 0.1250  0.16

Summary:
Energy above the lowest structure with this stoichiometry, meV per atom: 15
Formation energy, kJ/mol of formula units: 377.3
SG: I-42d (122)

We obtain total magnetization values of 0.00, 0.00, 1.34, 0.00, 0.00, 0.00, 0.00, 0.00, 0.00, 1.21, 0.00, 0.00, 1.14, 0.00, 1.44, 0.00, 1.16, 0.00, 0.00, 0.73 μB/f.u. for the records listed above, in that order.